1.
# CdMoI3, optimized geometry, DFT PBE-GGA
# Energy relative to the lowest polymorph listed for this composition in meV/atom: 0.0
# Uncorrected formation energy in eV/atom: 0.2337
# Theoretical density in Mg/m³: 5.33
# Calculated total energy in eV/atom: -3.05
# Total magnetic moment in μB/cell: 3.000
data_CdMoI3
_chemical_formula_sum 'Cd1 Mo1 I3'
_symmetry_space_group_name_H-M 'P m -3 m'
_symmetry_Int_Tables_number 221
_symmetry_space_group_name_Hall '-P 4 2 3'
_cell_length_a 5.6825
_cell_length_b 5.6825
_cell_length_c 5.6825
_cell_angle_alpha 90.00
_cell_angle_beta 90.00
_cell_angle_gamma 90.00
loop_
_atom_site_label
_atom_site_type_symbol
_atom_site_fract_x
_atom_site_fract_y
_atom_site_fract_z
_atom_site_occupancy
Cd1 Cd 0.0000 0.0000 0.0000 1
Mo1 Mo 0.5000 0.5000 0.5000 1
I1 I 0.0000 0.5000 0.5000 1

=====

2.
# Mn2Ni, optimized geometry, DFT PBE-GGA
# Theoretical density in Mg/m³: 6.10
# Calculated total energy in eV/atom: -7.57
# Formation energy in eV per atom: 0.467
# Total magnetic moment in μB/cell: 32.404
data_Mn2Ni
_chemical_formula_sum 'Mn8 Ni4'
_symmetry_space_group_name_H-M 'F m -3 m'
_symmetry_Int_Tables_number 225
_symmetry_space_group_name_Hall '-F 4 2 3'
_cell_length_a 5.6844
_cell_length_b 5.6844
_cell_length_c 5.6844
_cell_angle_alpha 90.00
_cell_angle_beta 90.00
_cell_angle_gamma 90.00
loop_
_atom_site_label
_atom_site_type_symbol
_atom_site_fract_x
_atom_site_fract_y
_atom_site_fract_z
_atom_site_occupancy
Mn1 Mn 0.2500 0.2500 0.2500 1
Ni1 Ni 0.0000 0.0000 0.0000 1

=====

3.
# ReGeMo3, optimized geometry, DFT PBE-GGA
# Energy relative to the lowest polymorph listed for this composition in meV/atom: 93.3
# Theoretical density in Mg/m³: 8.42
# Calculated total energy in eV/atom: -8.23
# Formation energy in eV per atom: 1.679
# Total magnetic moment in μB/cell: 1.727
data_ReGeMo3
_chemical_formula_sum 'Re1 Ge1 Mo3'
_symmetry_space_group_name_H-M 'P m -3 m'
_symmetry_Int_Tables_number 221
_symmetry_space_group_name_Hall '-P 4 2 3'
_cell_length_a 4.7602
_cell_length_b 4.7602
_cell_length_c 4.7602
_cell_angle_alpha 90.00
_cell_angle_beta 90.00
_cell_angle_gamma 90.00
loop_
_atom_site_label
_atom_site_type_symbol
_atom_site_fract_x
_atom_site_fract_y
_atom_site_fract_z
_atom_site_occupancy
Re1 Re 0.0000 0.0000 0.0000 1
Ge1 Ge 0.5000 0.5000 0.5000 1
Mo1 Mo 0.0000 0.0000 0.5000 1

=====

4.
# Hg2Sb2Se, optimized geometry, DFT PBE-GGA
# Energy relative to the lowest polymorph listed for this composition in meV/atom: 0.0
# Uncorrected formation energy in eV/atom: 0.1246
# Theoretical density in Mg/m³: 8.64
# Calculated total energy in eV/atom: -2.34
# Total magnetic moment in μB/cell: 0.000
data_Hg2Sb2Se
_chemical_formula_sum 'Hg4 Sb4 Se2'
_symmetry_space_group_name_H-M 'P 4/m b m'
_symmetry_Int_Tables_number 127
_symmetry_space_group_name_Hall '-P 4 2ab'
_cell_length_a 8.0556
_cell_length_b 8.0556
_cell_length_c 4.2882
_cell_angle_alpha 90.00
_cell_angle_beta 90.00
_cell_angle_gamma 90.00
loop_
_atom_site_label
_atom_site_type_symbol
_atom_site_fract_x
_atom_site_fract_y
_atom_site_fract_z
_atom_site_occupancy
Hg1 Hg 0.1269 0.3731 0.0000 1
Sb1 Sb 0.1993 0.6993 0.5000 1
Se1 Se 0.0000 0.0000 0.5000 1

=====

5.
# LiNi2Sb, optimized geometry, DFT PBE-GGA
# Uncorrected formation energy in eV/atom: 0.1265
# Theoretical density in Mg/m³: 6.76
# Calculated total energy in eV/atom: -4.27
# Total magnetic moment in μB/cell: 0.000
data_LiNi2Sb
_chemical_formula_sum 'Li4 Ni8 Sb4'
_symmetry_space_group_name_H-M 'I -4 2 d'
_symmetry_Int_Tables_number 122
_symmetry_space_group_name_Hall 'I -4 2bw'
_cell_length_a 3.7656
_cell_length_b 3.7656
_cell_length_c 17.0470
_cell_angle_alpha 90.00
_cell_angle_beta 90.00
_cell_angle_gamma 90.00
loop_
_atom_site_label
_atom_site_type_symbol
_atom_site_fract_x
_atom_site_fract_y
_atom_site_fract_z
_atom_site_occupancy
Li1 Li 0.0000 0.0000 0.0000 1
Ni1 Ni 0.2363 0.2500 0.1250 1
Sb1 Sb 0.0000 0.0000 0.5000 1

=====

6.
# Fe3CuW, optimized geometry, DFT PBE-GGA
# Energy relative to the lowest polymorph listed for this composition in meV/atom: 66.7
# Theoretical density in Mg/m³: 9.85
# Calculated total energy in eV/atom: -6.76
# Formation energy in eV per atom: 1.723
# Total magnetic moment in μB/cell: 0.000
data_Fe3CuW
_chemical_formula_sum 'Fe3 Cu1 W1'
_symmetry_space_group_name_H-M 'P m -3 m'
_symmetry_Int_Tables_number 221
_symmetry_space_group_name_Hall '-P 4 2 3'
_cell_length_a 4.1203
_cell_length_b 4.1203
_cell_length_c 4.1203
_cell_angle_alpha 90.00
_cell_angle_beta 90.00
_cell_angle_gamma 90.00
loop_
_atom_site_label
_atom_site_type_symbol
_atom_site_fract_x
_atom_site_fract_y
_atom_site_fract_z
_atom_site_occupancy
Fe1 Fe 0.0000 0.0000 0.5000 1
Cu1 Cu 0.0000 0.0000 0.0000 1
W1 W 0.5000 0.5000 0.5000 1

=====

7.
# Y5Tc2Hg2, optimized geometry, DFT PBE-GGA
# Theoretical density in Mg/m³: 7.51
# Calculated total energy in eV/atom: -6.20
# Formation energy in eV per atom: -0.235
# Total magnetic moment in μB/cell: 0.000
data_Y5Tc2Hg2
_chemical_formula_sum 'Y20 Tc8 Hg8'
_symmetry_space_group_name_H-M 'C m c e'
_symmetry_Int_Tables_number 64
_symmetry_space_group_name_Hall '-C 2ac 2'
_cell_length_a 16.7190
_cell_length_b 7.3685
_cell_length_c 7.4831
_cell_angle_alpha 90.00
_cell_angle_beta 90.00
_cell_angle_gamma 90.00
loop_
_atom_site_label
_atom_site_type_symbol
_atom_site_fract_x
_atom_site_fract_y
_atom_site_fract_z
_atom_site_occupancy
Y1 Y 0.0000 0.0000 0.0000 1
Y2 Y 0.1268 0.1806 0.3202 1
Tc1 Tc 0.0000 0.1094 0.6162 1
Hg1 Hg 0.2216 0.0000 0.0000 1

=====

8.
# Sm2Tm5Sc, optimized geometry, DFT PBE-GGA
# Theoretical density in Mg/m³: 8.20
# Calculated total energy in eV/atom: -4.73
# Formation energy in eV per atom: 0.036
# Total magnetic moment in μB/cell: 0.000
data_Sm2Tm5Sc
_chemical_formula_sum 'Sm4 Tm10 Sc2'
_symmetry_space_group_name_H-M 'P b a m'
_symmetry_Int_Tables_number 55
_symmetry_space_group_name_Hall '-P 2 2ab'
_cell_length_a 6.9932
_cell_length_b 13.9902
_cell_length_c 4.9299
_cell_angle_alpha 90.00
_cell_angle_beta 90.00
_cell_angle_gamma 90.00
loop_
_atom_site_label
_atom_site_type_symbol
_atom_site_fract_x
_atom_site_fract_y
_atom_site_fract_z
_atom_site_occupancy
Sm1 Sm 0.2471 0.1235 0.0000 1
Tm1 Tm 0.0000 0.5000 0.5000 1
Tm2 Tm 0.0019 0.7516 0.5000 1
Tm3 Tm 0.2497 0.3759 0.0000 1
Sc1 Sc 0.0000 0.0000 0.5000 1

=====

9.
# Li3AlRh2O6, optimized geometry, DFT PBE-GGA
# Uncorrected formation energy in eV/atom: -1.7007
# Theoretical density in Mg/m³: 5.18
# Calculated total energy in eV/atom: -6.20
# Total magnetic moment in μB/cell: 0.000
data_Li3AlRh2O6
_chemical_formula_sum 'Li6 Al2 Rh4 O12'
_symmetry_space_group_name_H-M 'C 1 2/m 1'
_symmetry_Int_Tables_number 12
_symmetry_space_group_name_Hall '-C 2y'
_cell_length_a 5.1905
_cell_length_b 9.0096
_cell_length_c 5.0981
_cell_angle_alpha 90.00
_cell_angle_beta 109.93
_cell_angle_gamma 90.00
loop_
_atom_site_label
_atom_site_type_symbol
_atom_site_fract_x
_atom_site_fract_y
_atom_site_fract_z
_atom_site_occupancy
Li1 Li 0.0000 0.0000 0.0000 1
Li2 Li 0.0000 0.3273 0.0000 1
Al1 Al 0.0000 0.5000 0.5000 1
Rh1 Rh 0.0000 0.1667 0.5000 1
O1 O 0.2327 0.3427 0.7253 1
O2 O 0.2410 0.5000 0.2780 1

=====

10.
# MgFe4Sb, optimized geometry, DFT PBE-GGA
# Uncorrected formation energy in eV/atom: 0.0871
# Theoretical density in Mg/m³: 7.23
# Calculated total energy in eV/atom: -6.51
# Total magnetic moment in μB/cell: 33.520
data_MgFe4Sb
_chemical_formula_sum 'Mg4 Fe16 Sb4'
_symmetry_space_group_name_H-M 'F -4 3 m'
_symmetry_Int_Tables_number 216
_symmetry_space_group_name_Hall 'F -4 2 3'
_cell_length_a 6.9767
_cell_length_b 6.9767
_cell_length_c 6.9767
_cell_angle_alpha 90.00
_cell_angle_beta 90.00
_cell_angle_gamma 90.00
loop_
_atom_site_label
_atom_site_type_symbol
_atom_site_fract_x
_atom_site_fract_y
_atom_site_fract_z
_atom_site_occupancy
Mg1 Mg 0.0000 0.0000 0.0000 1
Fe1 Fe 0.1257 0.1257 0.3743 1
Sb1 Sb 0.2500 0.2500 0.7500 1

=====

11.
# PuPaB12, optimized geometry, DFT PBE-GGA
# Theoretical density in Mg/m³: 7.36
# Calculated total energy in eV/atom: -7.81
# Formation energy in eV per atom: -0.382
# Total magnetic moment in μB/cell: 4.285
data_PuPaB12
_chemical_formula_sum 'Pu1 Pa1 B12'
_symmetry_space_group_name_H-M 'P 4/m m m'
_symmetry_Int_Tables_number 123
_symmetry_space_group_name_Hall '-P 4 2'
_cell_length_a 4.0858
_cell_length_b 4.0858
_cell_length_c 8.1784
_cell_angle_alpha 90.00
_cell_angle_beta 90.00
_cell_angle_gamma 90.00
loop_
_atom_site_label
_atom_site_type_symbol
_atom_site_fract_x
_atom_site_fract_y
_atom_site_fract_z
_atom_site_occupancy
Pu1 Pu 0.0000 0.0000 0.0000 1
Pa1 Pa 0.0000 0.0000 0.5000 1
B1 B 0.1977 0.5000 0.2511 1
B2 B 0.5000 0.5000 0.0992 1
B3 B 0.5000 0.5000 0.4017 1

=====

12.
# Y5Mg4Cu, optimized geometry, DFT PBE-GGA
# Theoretical density in Mg/m³: 3.85
# Calculated total energy in eV/atom: -4.40
# Formation energy in eV per atom: -0.118
# Total magnetic moment in μB/cell: 0.018
data_Y5Mg4Cu
_chemical_formula_sum 'Y5 Mg4 Cu1'
_symmetry_space_group_name_H-M 'P 4/m m m'
_symmetry_Int_Tables_number 123
_symmetry_space_group_name_Hall '-P 4 2'
_cell_length_a 3.6744
_cell_length_b 3.6744
_cell_length_c 19.3362
_cell_angle_alpha 90.00
_cell_angle_beta 90.00
_cell_angle_gamma 90.00
loop_
_atom_site_label
_atom_site_type_symbol
_atom_site_fract_x
_atom_site_fract_y
_atom_site_fract_z
_atom_site_occupancy
Y1 Y 0.0000 0.0000 0.0000 1
Y2 Y 0.0000 0.0000 0.2068 1
Y3 Y 0.0000 0.0000 0.4146 1
Mg1 Mg 0.5000 0.5000 0.1034 1
Mg2 Mg 0.5000 0.5000 0.3086 1
Cu1 Cu 0.5000 0.5000 0.5000 1